# Li2DyTl2Cd2 | the Alexandria database | PBE-GGA | optimized geometry
# Total magnetization = 0.00 μB/f.u.
# Mass density = 8.46 g cm⁻³
# Total DFT energy (no corrections) = -2.371 eV/atom
data_Li2DyTl2Cd2
_cell_length_a 4.9075
_cell_length_b 4.9075
_cell_length_c 22.8735
_cell_angle_alpha 90.00
_cell_angle_beta 90.00
_cell_angle_gamma 120.00
_symmetry_space_group_name_H-M 'R -3 m'
_symmetry_Int_Tables_number 166
_symmetry_space_group_name_Hall '-R 3 2"'
loop_
_atom_site_label
_atom_site_type_symbol
_atom_site_fract_x
_atom_site_fract_y
_atom_site_fract_z
_atom_site_occupancy
Li1 Li 0.0000 0.0000 0.1438 1
Dy1 Dy 0.0000 0.0000 0.0000 1
Tl1 Tl 0.0000 0.0000 0.2718 1
Cd1 Cd 0.0000 0.0000 0.4340 1